# ZnRe2Sb

Crystalline ZnRe2Sb at its relaxed geometry (PBE-GGA, Alexandria via LeMat-Bulk).

Its symmetry is I-42d (122). Its crystal system is tetragonal. The distance to the lowest polymorph of the same formula comes out at 389 meV/atom. The energy relative to the elements, uncorrected is 0.629 eV per atom.

Cell: 9.6641 9.6641 9.6641 Å, 155.95 155.95 34.27°
Positions (direct):
Zn 0.0000 0.0000 0.0000
Zn 0.7500 0.2500 0.5000
Re 0.0491 0.6250 0.9241
Re 0.3750 0.2991 0.4241
Re 0.7009 0.1250 0.0759
Re 0.8750 0.9509 0.5759
Sb 0.2500 0.7500 0.5000
Sb 0.5000 0.5000 0.0000